Material: MgZnAg2B
Method: DFT, PBE
State: relaxed

Cell: 4.9887 4.3121 4.9887 Å, 90.00 90.00 90.00°
With the nearest neighbours (Å) after each atom.
Fractional coordinates of all 5 atoms:
Zn  0.5000  0.5000  0.5000  8 Ag 3.30, 4 B 3.53
B  0.0000  0.5000  0.0000  2 Mg 2.16
Ag  0.0000  0.0000  0.5000  2 Mg 2.49
Mg  0.0000  0.0000  0.0000  2 B 2.16
Ag  0.5000  0.0000  0.0000  2 Mg 2.49

Calculated values
Space group: P4/mmm
Formation energy from the elements: 5.9 eV/f.u.
Density of states at the Fermi level: 2.791 states/eV per cell
VASP energy: -1.877 eV/atom

=====

Material: TaBeCr2
Method: DFT, PBE
State: relaxed

Cell: 2.6175 2.6175 7.6955 Å, 90.00 90.00 105.51°
With the nearest neighbours (Å) after each atom.
Fractional coordinates of all 4 atoms:
Ta  0.0000  0.0000  0.5146  2 Be 2.53, 4 Ta 2.62, 2 Cr 2.71
Cr  0.0000  0.0000  0.9859  2 Be 2.29, 2 Cr 2.45
Cr  0.5000  0.5000  0.2283  6 Cr 2.45-2.62, 2 Ta 2.71
Be  0.5000  0.5000  0.7712  2 Cr 2.29, 2 Ta 2.53

Calculated values
Space group: Cmm2
Formation energy from the elements: 0.9 eV/f.u.
Density of states at the Fermi level: 3.631 states/eV per cell
VASP energy: -8.489 eV/atom

=====

Please write out number 1 again, unchanged.
Material: MgZnAg2B
Method: DFT, PBE
State: relaxed

Cell: 4.9887 4.3121 4.9887 Å, 90.00 90.00 90.00°
With the nearest neighbours (Å) after each atom.
Fractional coordinates of all 5 atoms:
Zn  0.5000  0.5000  0.5000  8 Ag 3.30, 4 B 3.53
B  0.0000  0.5000  0.0000  2 Mg 2.16
Ag  0.0000  0.0000  0.5000  2 Mg 2.49
Mg  0.0000  0.0000  0.0000  2 B 2.16
Ag  0.5000  0.0000  0.0000  2 Mg 2.49

Calculated values
Space group: P4/mmm
Formation energy from the elements: 5.9 eV/f.u.
Density of states at the Fermi level: 2.791 states/eV per cell
VASP energy: -1.877 eV/atom

=====

Question: Which value of VASP energy does entry 2 give?
Answer: -8.489 eV/atom

=====

Please write out number 2 again, unchanged.
Material: TaBeCr2
Method: DFT, PBE
State: relaxed

Cell: 2.6175 2.6175 7.6955 Å, 90.00 90.00 105.51°
With the nearest neighbours (Å) after each atom.
Fractional coordinates of all 4 atoms:
Ta  0.0000  0.0000  0.5146  2 Be 2.53, 4 Ta 2.62, 2 Cr 2.71
Cr  0.0000  0.0000  0.9859  2 Be 2.29, 2 Cr 2.45
Cr  0.5000  0.5000  0.2283  6 Cr 2.45-2.62, 2 Ta 2.71
Be  0.5000  0.5000  0.7712  2 Cr 2.29, 2 Ta 2.53

Calculated values
Space group: Cmm2
Formation energy from the elements: 0.9 eV/f.u.
Density of states at the Fermi level: 3.631 states/eV per cell
VASP energy: -8.489 eV/atom